Entry 1:
VASP calculation (GGA-PBE) on a relaxed LaPtSe2N crystal.

Results
Crystal system ... tetragonal
Spin magnetization ... 0.0 μB per formula unit
Raw formation energy ... 792 meV per atom

Unit cell a=5.839 b=5.839 c=3.963 alpha=90.00 beta=90.00 gamma=90.00
Space group P4/mmm (No. 123)
Unique sites:
La: 0.000 0.000 0.000 [1 per cell]
Pt: 0.500 0.500 0.500 [1 per cell]
Se: 0.000 0.500 0.000 [2 per cell]
N: 0.000 0.000 0.500 [1 per cell]


Entry 2:
VASP calculation (GGA-PBE) on a relaxed LaPtSe2N crystal.

Results
Crystal system ... tetragonal
Spin magnetization ... 0.0 μB per formula unit
Raw formation energy ... -502 meV per atom

Unit cell a=5.252 b=5.252 c=3.815 alpha=90.00 beta=90.00 gamma=90.00
Space group P4/mmm (No. 123)
Unique sites:
La: 0.000 0.000 0.000 [1 per cell]
Pt: 0.500 0.500 0.500 [1 per cell]
Se: 0.000 0.500 0.500 [2 per cell]
N: 0.500 0.500 0.000 [1 per cell]


Repeat the second record exactly.
VASP calculation (GGA-PBE) on a relaxed LaPtSe2N crystal.

Results
Crystal system ... tetragonal
Spin magnetization ... 0.0 μB per formula unit
Raw formation energy ... -502 meV per atom

Unit cell a=5.252 b=5.252 c=3.815 alpha=90.00 beta=90.00 gamma=90.00
Space group P4/mmm (No. 123)
Unique sites:
La: 0.000 0.000 0.000 [1 per cell]
Pt: 0.500 0.500 0.500 [1 per cell]
Se: 0.000 0.500 0.500 [2 per cell]
N: 0.500 0.500 0.000 [1 per cell]


Question: What is the raw formation energy in the second record?
Answer: -502 meV per atom


Question: Which of these has the lowest raw formation energy?
Answer: number 2